VASP calculation (PBE) on a geometry-optimized VTcH2I structure.

POSCAR file:
```
VTcH2I
1.0
-0.216 1.820 -3.346
-4.801 -0.097 0.258
0.030 3.352 1.822
I H Tc V
1 2 1 1
direct
0.500 0.500 0.500
0.000 0.000 0.500
0.500 0.000 0.000
0.000 0.500 0.000
0.000 0.000 0.000
```

Properties
DOS(E_F) ... 5.762 states/eV/f.u.
Uncorrected energy ... -4.78 eV per atom
V ... 70.0 Å³/cell

VASP calculation (PBE) on a geometry-optimized K4AgSe structure.

POSCAR file:
```
K4AgSe
1.0
5.753 3.546 1.198
-0.272 5.905 3.488
2.555 0.349 6.361
K Ag Se
4 1 1
direct
0.871 0.376 0.376
0.376 0.376 0.871
0.376 0.871 0.376
0.376 0.376 0.376
0.000 0.000 0.000
0.750 0.750 0.750
```

Properties
DOS(E_F) ... 1.093 states/eV/f.u.
Uncorrected formation energy ... 0.61 eV per formula unit
V ... 228.6 Å³/cell